Compound: GdErIn
Source: OQMD via LeMat-Bulk
Functional: PBE
Structure: relaxed

Geometry as POSCAR:
```
GdErIn
1.0
5.382 0.000 0.000
-2.691 4.661 0.000
0.000 0.000 6.711
Gd In Er
2 2 2
Direct
0.667 0.333 0.250
0.333 0.667 0.750
0.667 0.333 0.750
0.333 0.667 0.250
0.000 0.000 0.000
0.000 0.000 0.500
```

Compound: GdErIn
Source: OQMD via LeMat-Bulk
Functional: PBE
Structure: relaxed

Geometry as POSCAR:
```
GdErIn
1.0
0.000 3.660 3.660
3.660 0.000 3.660
3.660 3.660 0.000
Er Gd In
1 1 1
Direct
0.250 0.250 0.250
0.750 0.750 0.750
0.000 0.000 0.000
```

Compound: GdEr2In3Ir2Pd
Source: OQMD via LeMat-Bulk
Functional: PBE
Structure: relaxed

Geometry as POSCAR:
```
GdEr2In3Ir2Pd
1.0
-2.984 0.715 2.339
-0.031 -7.301 2.191
4.179 5.149 3.757
Ir Gd Er Pd In
2 1 2 1 3
Direct
0.500 0.670 0.333
0.500 0.333 0.670
0.000 0.411 0.411
0.000 0.589 0.999
0.000 0.999 0.589
0.000 0.999 0.999
0.500 0.740 0.740
0.500 0.260 0.999
0.500 0.999 0.260
```

Compound: GdEr2LuIn2
Source: OQMD via LeMat-Bulk
Functional: PBE
Structure: relaxed

Geometry as POSCAR:
```
GdEr2LuIn2
1.0
5.348 0.000 0.000
-2.674 4.632 0.000
0.000 0.000 6.692
Lu Er Gd In
1 2 1 2
Direct
0.333 0.667 0.500
0.667 0.333 0.255
0.667 0.333 0.745
0.000 0.000 0.000
0.333 0.667 0.000
0.000 0.000 0.500
```

Compound: GdEr2Mg4In2
Source: OQMD via LeMat-Bulk
Functional: PBE
Structure: relaxed

Geometry as POSCAR:
```
GdEr2Mg4In2
1.0
4.652 0.000 0.000
0.000 6.571 3.764
0.000 -6.571 3.764
Gd Mg Er In
1 4 2 2
Direct
0.000 0.436 0.436
0.500 0.000 0.243
0.500 0.756 0.756
0.500 0.243 0.000
0.000 0.996 0.996
0.000 0.001 0.564
0.000 0.564 0.001
0.500 0.334 0.670
0.500 0.670 0.334
```

Compound: Gd2ErMg4In2
Source: OQMD via LeMat-Bulk
Functional: PBE
Structure: relaxed

Geometry as POSCAR:
```
Gd2ErMg4In2
1.0
-1.538 0.713 -4.351
3.167 -6.520 -2.189
-7.138 0.021 2.528
Mg Gd In Er
4 2 2 1
Direct
0.500 0.756 0.000
0.500 0.242 0.242
0.000 0.996 0.996
0.500 0.000 0.756
0.000 0.435 0.002
0.000 0.002 0.435
0.500 0.667 0.336
0.500 0.336 0.667
0.000 0.565 0.565
```

Compound: Gd2ErMg3ZnIn2
Source: OQMD via LeMat-Bulk
Functional: PBE
Structure: relaxed

Geometry as POSCAR:
```
Gd2ErMg3ZnIn2
1.0
4.585 0.000 0.000
0.000 6.438 3.763
0.000 -6.438 3.763
Gd Er In Mg Zn
2 1 2 3 1
Direct
0.000 0.415 0.001
0.000 0.001 0.415
0.000 0.587 0.587
0.500 0.666 0.336
0.500 0.336 0.666
0.500 0.235 0.235
0.500 0.764 0.000
0.500 0.000 0.764
0.000 0.996 0.996
```

Compound: NdGd2ErIn2
Source: OQMD via LeMat-Bulk
Functional: PBE
Structure: relaxed

Geometry as POSCAR:
```
NdGd2ErIn2
1.0
-0.548 -5.400 0.330
4.027 2.492 2.673
-4.052 0.742 5.413
Nd In Gd Er
1 2 2 1
Direct
0.667 0.333 0.500
0.667 0.333 0.000
0.000 0.000 0.500
0.333 0.667 0.243
0.333 0.667 0.757
0.000 0.000 0.000
```

Final energy values, unit eV/atom, following the record order: -4.3370 -4.0768 -5.7397 -4.3065 -3.1009 -3.1225 -3.1713 -4.3641.